1.
A plane-wave DFT calculation with PBE-GGA was carried out for a relaxed K2TiTe crystal.

Properties
energy relative to the elements, uncorrected: 0.076 eV per atom

Structure (CIF):
```
data_K2TiTe
_chemical_formula_sum 'K8 Ti4 Te4'
_cell_length_a 12.7071
_cell_length_b 12.7071
_cell_length_c 5.3528
_cell_angle_alpha 90.00
_cell_angle_beta 90.00
_cell_angle_gamma 90.00
_symmetry_space_group_name_H-M 'I -4 2 d'
_symmetry_Int_Tables_number 122
_symmetry_space_group_name_Hall 'I -4 2bw'
loop_
_atom_site_label
_atom_site_type_symbol
_atom_site_fract_x
_atom_site_fract_y
_atom_site_fract_z
K1 K 0.0969 0.2500 0.1250
Ti1 Ti 0.0000 0.0000 0.5000
Te1 Te 0.0000 0.0000 0.0000
```


2.
A plane-wave DFT calculation with PBE-GGA was carried out for a relaxed CrAsBr2 crystal.

Properties
energy relative to the elements, uncorrected: 0.153 eV per atom

Structure (CIF):
```
data_CrAsBr2
_chemical_formula_sum 'Cr2 As2 Br4'
_cell_length_a 3.4642
_cell_length_b 6.2198
_cell_length_c 11.1525
_cell_angle_alpha 90.00
_cell_angle_beta 90.00
_cell_angle_gamma 90.00
_symmetry_space_group_name_H-M 'C m m m'
_symmetry_Int_Tables_number 65
_symmetry_space_group_name_Hall '-C 2 2'
loop_
_atom_site_label
_atom_site_type_symbol
_atom_site_fract_x
_atom_site_fract_y
_atom_site_fract_z
Cr1 Cr 0.0000 0.0000 0.0000
As1 As 0.0000 0.0000 0.5000
Br1 Br 0.0000 0.5000 0.1597
```


3.
A plane-wave DFT calculation with PBE-GGA was carried out for a relaxed Hf2HS3 crystal.

Properties
electronic total energy: -172.18 eV per cell

Structure (CIF):
```
data_Hf2HS3
_chemical_formula_sum 'Hf8 H4 S12'
_cell_length_a 14.0029
_cell_length_b 3.6437
_cell_length_c 9.3289
_cell_angle_alpha 90.00
_cell_angle_beta 114.95
_cell_angle_gamma 90.00
_symmetry_space_group_name_H-M 'C 1 2/m 1'
_symmetry_Int_Tables_number 12
_symmetry_space_group_name_Hall '-C 2y'
loop_
_atom_site_label
_atom_site_type_symbol
_atom_site_fract_x
_atom_site_fract_y
_atom_site_fract_z
Hf1 Hf 0.0949 0.0000 0.4433
Hf2 Hf 0.1406 0.5000 0.8125
H1 H 0.0655 0.0000 0.6416
S1 S 0.0500 0.5000 0.2366
S2 S 0.1538 0.0000 0.9991
S3 S 0.2235 0.5000 0.6200
```


4.
A plane-wave DFT calculation with PBE-GGA was carried out for a relaxed ZrTe2W crystal.

Properties
energy relative to the elements, uncorrected: 0.409 eV per atom

Structure (CIF):
```
data_ZrTe2W
_chemical_formula_sum 'Zr2 Te4 W2'
_cell_length_a 4.4588
_cell_length_b 4.4588
_cell_length_c 8.6184
_cell_angle_alpha 90.00
_cell_angle_beta 90.00
_cell_angle_gamma 90.00
_symmetry_space_group_name_H-M 'I -4 m 2'
_symmetry_Int_Tables_number 119
_symmetry_space_group_name_Hall 'I -4 -2'
loop_
_atom_site_label
_atom_site_type_symbol
_atom_site_fract_x
_atom_site_fract_y
_atom_site_fract_z
Zr1 Zr 0.0000 0.0000 0.0000
Te1 Te 0.0000 0.0000 0.5000
Te2 Te 0.0000 0.5000 0.7500
W1 W 0.0000 0.5000 0.2500
```


5.
A plane-wave DFT calculation with PBE-GGA was carried out for a relaxed La4InI5 crystal.

Properties
energy relative to the elements, uncorrected: -1.161 eV per atom

Structure (CIF):
```
data_La4InI5
_chemical_formula_sum 'La8 In2 I10'
_cell_length_a 19.8902
_cell_length_b 4.5239
_cell_length_c 9.3761
_cell_angle_alpha 90.00
_cell_angle_beta 101.55
_cell_angle_gamma 90.00
_symmetry_space_group_name_H-M 'C 1 2/m 1'
_symmetry_Int_Tables_number 12
_symmetry_space_group_name_Hall '-C 2y'
loop_
_atom_site_label
_atom_site_type_symbol
_atom_site_fract_x
_atom_site_fract_y
_atom_site_fract_z
La1 La 0.0017 0.0000 0.2341
La2 La 0.1603 0.5000 0.0714
In1 In 0.0000 0.5000 0.0000
I1 I 0.0000 0.5000 0.5000
I2 I 0.1693 0.0000 0.3282
I3 I 0.1690 0.0000 0.8180
```


6.
A plane-wave DFT calculation with PBE-GGA was carried out for a relaxed TbPm2PuS4 crystal.

Properties
energy relative to the elements, uncorrected: -1.980 eV per atom

Structure (CIF):
```
data_TbPm2PuS4
_chemical_formula_sum 'Tb1 Pm2 Pu1 S4'
_cell_length_a 6.9052
_cell_length_b 3.9712
_cell_length_c 6.9230
_cell_angle_alpha 90.00
_cell_angle_beta 109.22
_cell_angle_gamma 90.00
_symmetry_space_group_name_H-M 'P 1 2/m 1'
_symmetry_Int_Tables_number 10
_symmetry_space_group_name_Hall '-P 2y'
loop_
_atom_site_label
_atom_site_type_symbol
_atom_site_fract_x
_atom_site_fract_y
_atom_site_fract_z
Tb1 Tb 0.0000 0.0000 0.0000
Pm1 Pm 0.0000 0.5000 0.5000
Pm2 Pm 0.5000 0.0000 0.5000
Pu1 Pu 0.5000 0.5000 0.0000
S1 S 0.2460 0.5000 0.2413
S2 S 0.2520 0.0000 0.7581
```


7.
A plane-wave DFT calculation with PBE-GGA was carried out for a relaxed SmDy2HoSc4 crystal.

Properties
E_form: 0.05 eV/atom

Structure (CIF):
```
data_SmDy2HoSc4
_chemical_formula_sum 'Sm1 Dy2 Ho1 Sc4'
_cell_length_a 4.9045
_cell_length_b 4.9045
_cell_length_c 9.3026
_cell_angle_alpha 90.00
_cell_angle_beta 90.00
_cell_angle_gamma 90.00
_symmetry_space_group_name_H-M 'P 4/m m m'
_symmetry_Int_Tables_number 123
_symmetry_space_group_name_Hall '-P 4 2'
loop_
_atom_site_label
_atom_site_type_symbol
_atom_site_fract_x
_atom_site_fract_y
_atom_site_fract_z
Sm1 Sm 0.0000 0.0000 0.0000
Dy1 Dy 0.0000 0.0000 0.5000
Dy2 Dy 0.5000 0.5000 0.0000
Ho1 Ho 0.5000 0.5000 0.5000
Sc1 Sc 0.0000 0.5000 0.2515
```


8.
A plane-wave DFT calculation with PBE-GGA was carried out for a relaxed SmPuGaTc crystal.

Properties
E_form: -0.04 eV/atom

Structure (CIF):
```
data_SmPuGaTc
_chemical_formula_sum 'Sm4 Pu4 Ga4 Tc4'
_cell_length_a 7.0400
_cell_length_b 7.0400
_cell_length_c 7.0400
_cell_angle_alpha 90.00
_cell_angle_beta 90.00
_cell_angle_gamma 90.00
_symmetry_space_group_name_H-M 'F -4 3 m'
_symmetry_Int_Tables_number 216
_symmetry_space_group_name_Hall 'F -4 2 3'
loop_
_atom_site_label
_atom_site_type_symbol
_atom_site_fract_x
_atom_site_fract_y
_atom_site_fract_z
Sm1 Sm 0.0000 0.0000 0.0000
Pu1 Pu 0.0000 0.0000 0.5000
Ga1 Ga 0.2500 0.2500 0.7500
Tc1 Tc 0.2500 0.2500 0.2500
```


9.
A plane-wave DFT calculation with PBE-GGA was carried out for a relaxed TiAlIr crystal.

Properties
E_form: -0.52 eV/atom

Structure (CIF):
```
data_TiAlIr
_chemical_formula_sum 'Ti2 Al2 Ir2'
_cell_length_a 3.7763
_cell_length_b 3.7763
_cell_length_c 6.6524
_cell_angle_alpha 90.00
_cell_angle_beta 90.00
_cell_angle_gamma 90.00
_symmetry_space_group_name_H-M 'P 4/n m m'
_symmetry_Int_Tables_number 129
loop_
_symmetry_equiv_pos_as_xyz
'x,y,z'
'-x,-y,-z'
'-y+1/2,x,z'
'y+1/2,-x,-z'
'-x+1/2,-y+1/2,z'
'x+1/2,y+1/2,-z'
'y,-x+1/2,z'
'-y,x+1/2,-z'
'x+1/2,-y,-z'
'-x+1/2,y,z'
'-y,-x,-z'
'y,x,z'
'-x,y+1/2,-z'
'x,-y+1/2,z'
'y+1/2,x+1/2,-z'
'-y+1/2,-x+1/2,z'
loop_
_atom_site_label
_atom_site_type_symbol
_atom_site_fract_x
_atom_site_fract_y
_atom_site_fract_z
Ti1 Ti 0.2500 0.7500 0.0000
Al1 Al 0.2500 0.2500 0.3231
Ir1 Ir 0.2500 0.2500 0.7001
```


10.
A plane-wave DFT calculation with PBE-GGA was carried out for a relaxed Sm5ErHg6 crystal.

Properties
E_form: -0.47 eV/atom

Structure (CIF):
```
data_Sm5ErHg6
_chemical_formula_sum 'Sm10 Er2 Hg12'
_cell_length_a 5.3211
_cell_length_b 16.0040
_cell_length_c 7.6028
_cell_angle_alpha 90.00
_cell_angle_beta 90.00
_cell_angle_gamma 90.00
_symmetry_space_group_name_H-M 'C m m m'
_symmetry_Int_Tables_number 65
_symmetry_space_group_name_Hall '-C 2 2'
loop_
_atom_site_label
_atom_site_type_symbol
_atom_site_fract_x
_atom_site_fract_y
_atom_site_fract_z
Sm1 Sm 0.0000 0.0000 0.0000
Sm2 Sm 0.0000 0.3314 0.0000
Sm3 Sm 0.0000 0.3336 0.5000
Er1 Er 0.0000 0.0000 0.5000
Hg1 Hg 0.0000 0.1633 0.2544
Hg2 Hg 0.0000 0.5000 0.2570
```


11.
A plane-wave DFT calculation with PBE-GGA was carried out for a relaxed NiTe3Mo crystal.

Properties
energy relative to the elements, uncorrected: 0.963 eV per atom

Structure (CIF):
```
data_NiTe3Mo
_chemical_formula_sum 'Ni1 Te3 Mo1'
_cell_length_a 5.2326
_cell_length_b 5.2326
_cell_length_c 5.2326
_cell_angle_alpha 90.00
_cell_angle_beta 90.00
_cell_angle_gamma 90.00
_symmetry_space_group_name_H-M 'P m -3 m'
_symmetry_Int_Tables_number 221
_symmetry_space_group_name_Hall '-P 4 2 3'
loop_
_atom_site_label
_atom_site_type_symbol
_atom_site_fract_x
_atom_site_fract_y
_atom_site_fract_z
Ni1 Ni 0.0000 0.0000 0.0000
Te1 Te 0.0000 0.5000 0.5000
Mo1 Mo 0.5000 0.5000 0.5000
```


12.
A plane-wave DFT calculation with PBE-GGA was carried out for a relaxed ZrC3 crystal.

Properties
E_form: 2.12 eV/atom

Structure (CIF):
```
data_ZrC3
_chemical_formula_sum 'Zr3 C9'
_cell_length_a 6.6539
_cell_length_b 6.6539
_cell_length_c 3.6198
_cell_angle_alpha 90.00
_cell_angle_beta 90.00
_cell_angle_gamma 120.00
_symmetry_space_group_name_H-M 'R -3 m'
_symmetry_Int_Tables_number 166
_symmetry_space_group_name_Hall '-R 3 2"'
loop_
_atom_site_label
_atom_site_type_symbol
_atom_site_fract_x
_atom_site_fract_y
_atom_site_fract_z
Zr1 Zr 0.0000 0.0000 0.0000
C1 C 0.0000 0.5000 0.0000
```


13.
A plane-wave DFT calculation with PBE-GGA was carried out for a relaxed Li2AsW crystal.

Properties
E_form: 0.13 eV/atom

Structure (CIF):
```
data_Li2AsW
_chemical_formula_sum 'Li4 As2 W2'
_cell_length_a 3.3319
_cell_length_b 4.1856
_cell_length_c 8.9089
_cell_angle_alpha 90.00
_cell_angle_beta 90.00
_cell_angle_gamma 90.00
_symmetry_space_group_name_H-M 'C m m m'
_symmetry_Int_Tables_number 65
_symmetry_space_group_name_Hall '-C 2 2'
loop_
_atom_site_label
_atom_site_type_symbol
_atom_site_fract_x
_atom_site_fract_y
_atom_site_fract_z
Li1 Li 0.0000 0.0000 0.2304
As1 As 0.0000 0.5000 0.0000
W1 W 0.0000 0.5000 0.5000
```


14.
A plane-wave DFT calculation with PBE-GGA was carried out for a relaxed TiAgAsO6 crystal.

Properties
energy relative to the elements, uncorrected: -1.335 eV per atom

Structure (CIF):
```
data_TiAgAsO6
_chemical_formula_sum 'Ti2 Ag2 As2 O12'
_cell_length_a 5.1158
_cell_length_b 5.1158
_cell_length_c 9.1073
_cell_angle_alpha 90.00
_cell_angle_beta 90.00
_cell_angle_gamma 120.00
_symmetry_space_group_name_H-M 'P -3 1 c'
_symmetry_Int_Tables_number 163
_symmetry_space_group_name_Hall '-P 3 2c'
loop_
_atom_site_label
_atom_site_type_symbol
_atom_site_fract_x
_atom_site_fract_y
_atom_site_fract_z
Ti1 Ti 0.3333 0.6667 0.2500
Ag1 Ag 0.0000 0.0000 0.0000
As1 As 0.3333 0.6667 0.7500
O1 O 0.0159 0.3757 0.6397
```


15.
A plane-wave DFT calculation with PBE-GGA was carried out for a relaxed Tm5In2Fe2 crystal.

Properties
E_form: -0.20 eV/atom

Structure (CIF):
```
data_Tm5In2Fe2
_chemical_formula_sum 'Tm20 In8 Fe8'
_cell_length_a 16.8528
_cell_length_b 7.1371
_cell_length_c 7.1380
_cell_angle_alpha 90.00
_cell_angle_beta 90.00
_cell_angle_gamma 90.00
_symmetry_space_group_name_H-M 'C m c e'
_symmetry_Int_Tables_number 64
_symmetry_space_group_name_Hall '-C 2ac 2'
loop_
_atom_site_label
_atom_site_type_symbol
_atom_site_fract_x
_atom_site_fract_y
_atom_site_fract_z
Tm1 Tm 0.0000 0.0000 0.0000
Tm2 Tm 0.1164 0.1857 0.3172
In1 In 0.2307 0.0000 0.0000
Fe1 Fe 0.0000 0.1069 0.6076
```


16.
A plane-wave DFT calculation with PBE-GGA was carried out for a relaxed Dy5Y12Tm crystal.

Properties
E_form: 0.02 eV/atom

Structure (CIF):
```
data_Dy5Y12Tm
_chemical_formula_sum 'Dy10 Y24 Tm2'
_cell_length_a 15.0868
_cell_length_b 15.1169
_cell_length_c 5.0295
_cell_angle_alpha 90.00
_cell_angle_beta 90.00
_cell_angle_gamma 90.00
_symmetry_space_group_name_H-M 'C m m m'
_symmetry_Int_Tables_number 65
_symmetry_space_group_name_Hall '-C 2 2'
loop_
_atom_site_label
_atom_site_type_symbol
_atom_site_fract_x
_atom_site_fract_y
_atom_site_fract_z
Dy1 Dy 0.0000 0.0000 0.0000
Dy2 Dy 0.0000 0.1667 0.5000
Dy3 Dy 0.0000 0.3336 0.0000
Y1 Y 0.1655 0.3336 0.5000
Y2 Y 0.1653 0.5000 0.0000
Y3 Y 0.1659 0.0000 0.5000
Y4 Y 0.1659 0.1668 0.0000
Tm1 Tm 0.0000 0.5000 0.5000
```


17.
A plane-wave DFT calculation with PBE-GGA was carried out for a relaxed La5Hg4 crystal.

Properties
E_form: -0.25 eV/atom

Structure (CIF):
```
data_La5Hg4
_chemical_formula_sum 'La10 Hg8'
_cell_length_a 10.2765
_cell_length_b 10.2765
_cell_length_c 4.9704
_cell_angle_alpha 90.00
_cell_angle_beta 90.00
_cell_angle_gamma 90.00
_symmetry_space_group_name_H-M 'I 4/m m m'
_symmetry_Int_Tables_number 139
_symmetry_space_group_name_Hall '-I 4 2'
loop_
_atom_site_label
_atom_site_type_symbol
_atom_site_fract_x
_atom_site_fract_y
_atom_site_fract_z
La1 La 0.0000 0.0000 0.0000
La2 La 0.1721 0.1721 0.5000
Hg1 Hg 0.0000 0.3373 0.0000
```


18.
A plane-wave DFT calculation with PBE-GGA was carried out for a relaxed Pm2MgSi2 crystal.

Properties
energy relative to the elements, uncorrected: -0.602 eV per atom

Structure (CIF):
```
data_Pm2MgSi2
_chemical_formula_sum 'Pm4 Mg2 Si4'
_cell_length_a 4.3373
_cell_length_b 5.9343
_cell_length_c 9.0669
_cell_angle_alpha 90.00
_cell_angle_beta 90.00
_cell_angle_gamma 90.00
_symmetry_space_group_name_H-M 'I m m m'
_symmetry_Int_Tables_number 71
_symmetry_space_group_name_Hall '-I 2 2'
loop_
_atom_site_label
_atom_site_type_symbol
_atom_site_fract_x
_atom_site_fract_y
_atom_site_fract_z
Pm1 Pm 0.0000 0.0000 0.2059
Mg1 Mg 0.0000 0.5000 0.0000
Si1 Si 0.0000 0.2974 0.5000
```


19.
A plane-wave DFT calculation with PBE-GGA was carried out for a relaxed PmGdIrPt crystal.

Properties
E_form: -0.90 eV/atom

Structure (CIF):
```
data_PmGdIrPt
_chemical_formula_sum 'Pm4 Gd4 Ir4 Pt4'
_cell_length_a 7.0465
_cell_length_b 7.0465
_cell_length_c 7.0465
_cell_angle_alpha 90.00
_cell_angle_beta 90.00
_cell_angle_gamma 90.00
_symmetry_space_group_name_H-M 'F -4 3 m'
_symmetry_Int_Tables_number 216
_symmetry_space_group_name_Hall 'F -4 2 3'
loop_
_atom_site_label
_atom_site_type_symbol
_atom_site_fract_x
_atom_site_fract_y
_atom_site_fract_z
Pm1 Pm 0.0000 0.0000 0.0000
Gd1 Gd 0.0000 0.0000 0.5000
Ir1 Ir 0.2500 0.2500 0.7500
Pt1 Pt 0.2500 0.2500 0.2500
```


20.
A plane-wave DFT calculation with PBE-GGA was carried out for a relaxed ZrTiFe2 crystal.

Properties
E_form: -0.25 eV/atom

Structure (CIF):
```
data_ZrTiFe2
_chemical_formula_sum 'Zr1 Ti1 Fe2'
_cell_length_a 3.0554
_cell_length_b 3.0554
_cell_length_c 6.1787
_cell_angle_alpha 90.00
_cell_angle_beta 90.00
_cell_angle_gamma 90.00
_symmetry_space_group_name_H-M 'P 4/m m m'
_symmetry_Int_Tables_number 123
_symmetry_space_group_name_Hall '-P 4 2'
loop_
_atom_site_label
_atom_site_type_symbol
_atom_site_fract_x
_atom_site_fract_y
_atom_site_fract_z
Zr1 Zr 0.0000 0.0000 0.0000
Ti1 Ti 0.0000 0.0000 0.5000
Fe1 Fe 0.5000 0.5000 0.2683
```


Values for ρ, g/cm3, ordered as above
1.95 3.96 6.99 10.28 5.24 7.61 6.09 10.70 9.35 10.89 6.23 4.57 7.29 5.26 9.18 5.93 9.47 5.27 13.09 7.22